Na2ScPd2: relaxed, PBE.

```
Na2ScPd2
1.0
7.9662 0.0000 0.0000
0.0000 7.9662 0.0000
0.0000 0.0000 3.1093
Sc Na Pd
2 4 4
Direct
0.0000 0.0000 0.0000
0.5000 0.5000 0.0000
0.6201 0.8799 0.5000
0.3799 0.1201 0.5000
0.1201 0.6201 0.5000
0.8799 0.3799 0.5000
0.3177 0.8177 0.0000
0.8177 0.6823 0.0000
0.1823 0.3177 0.0000
0.6823 0.1823 0.0000
```

SG: P4/mbm, No. 127
Excess energy over the best structure of this formula in the dataset (eV per formula unit): 0.60

NaScPd4: relaxed, PBE.

```
NaScPd4
1.0
-1.2017 0.7806 5.1274
-5.0899 0.0784 1.5591
-1.9528 -4.0036 2.9158
Na Pd Sc
1 4 1
Direct
0.2500 0.2500 0.2500
0.6251 0.6251 0.1246
0.6251 0.6251 0.6251
0.6251 0.1246 0.6251
0.1246 0.6251 0.6251
0.0000 0.0000 0.0000
```

SG: F-43m, No. 216

Na2ScPd: relaxed, PBE.

```
Na2ScPd
1.0
3.9488 0.0000 0.0000
0.0000 3.9488 0.0000
1.9744 1.9744 11.6450
Pd Sc Na
2 2 4
Direct
0.0000 0.0000 0.0000
0.7500 0.2500 0.5000
0.5000 0.5000 0.0000
0.2500 0.7500 0.5000
0.3750 0.3538 0.7500
0.6462 0.1250 0.2500
0.8750 0.8962 0.7500
0.1038 0.6250 0.2500
```

SG: I-42d, No. 122
Excess energy over the best structure of this formula in the dataset (eV per formula unit): 0.00

NaSc2Pd9: relaxed, PBE.

```
NaSc2Pd9
1.0
4.0328 0.0000 0.0000
0.0000 4.0328 0.0000
0.0000 0.0000 11.9583
Na Pd Sc
1 9 2
Direct
0.0000 0.0000 0.0000
0.0000 0.5000 0.5000
0.5000 0.5000 0.0000
0.5000 0.0000 0.1712
0.0000 0.5000 0.1712
0.0000 0.5000 0.8288
0.5000 0.0000 0.8288
0.5000 0.5000 0.6653
0.5000 0.5000 0.3347
0.5000 0.0000 0.5000
0.0000 0.0000 0.6680
0.0000 0.0000 0.3320
```

SG: P4/mmm, No. 123

NaSc3Pd: relaxed, PBE.

```
NaSc3Pd
1.0
-4.2039 -1.6075 -2.5681
2.5660 -4.2245 -1.5561
-1.6109 -2.5341 4.2232
Sc Na Pd
3 1 1
Direct
0.0000 0.5000 0.0000
0.5000 0.0000 0.0000
0.0000 0.0000 0.5000
0.5000 0.5000 0.5000
0.0000 0.0000 0.0000
```

SG: Pm-3m, No. 221
Excess energy over the best structure of this formula in the dataset (eV per formula unit): 0.00

NaSc4Pd5: relaxed, PBE.

```
NaSc4Pd5
1.0
3.2862 0.0000 0.0000
0.0000 3.2862 0.0000
0.0000 0.0000 17.2574
Na Sc Pd
1 4 5
Direct
0.0000 0.0000 0.0000
0.0000 0.0000 0.4020
0.0000 0.0000 0.2052
0.0000 0.0000 0.5980
0.0000 0.0000 0.7948
0.5000 0.5000 0.1219
0.5000 0.5000 0.6926
0.5000 0.5000 0.3074
0.5000 0.5000 0.8781
0.5000 0.5000 0.5000
```

SG: P4/mmm, No. 123

For the records above, the corresponding E_form values read -34, -251, 6, -660, 3, -752 kJ/mol of formula units.
For the records above, the corresponding energy values read -3.941, -5.170, -3.524, -5.630, -5.096, -6.040 eV per atom.